A plane-wave DFT calculation with PBE was carried out for a relaxed structure of Ac3Hg4Pt4.

## Properties
energy of formation = -0.7262 eV per atom
total energy = -4.153 eV per atom
crystal system = orthorhombic

a b c (Å): 4.3276 8.2624 15.4262
angles (deg): 90.00 90.00 90.00
Space group Immm (No. 71)
Inequivalent atoms, fractional coordinates:
1 Ac 0.0000 0.0000 0.0000
2 Ac 0.0000 0.5000 0.1260
3 Hg 0.0000 0.3045 0.3308
4 Pt 0.0000 0.0000 0.2226
5 Pt 0.0000 0.1844 0.5000

A plane-wave DFT calculation with PBE was carried out for a relaxed structure of Ac2HgPt2.

## Properties
energy of formation = -0.9800 eV per atom
total energy = -5.100 eV per atom
crystal system = tetragonal

a b c (Å): 8.1334 8.1334 4.1046
angles (deg): 90.00 90.00 90.00
Space group P4/mbm (No. 127)
Inequivalent atoms, fractional coordinates:
1 Ac 0.1745 0.3255 0.0000
2 Hg 0.0000 0.0000 0.5000
3 Pt 0.1255 0.6255 0.5000

A plane-wave DFT calculation with PBE was carried out for a relaxed structure of Ac2HgPt3.

## Properties
energy of formation = -0.9123 eV per atom
relative energy among the computed polymorphs = 0 kJ/mol of formula units
total energy = -5.353 eV per atom
crystal system = orthorhombic

a b c (Å): 4.2170 4.2879 17.6407
angles (deg): 90.00 90.00 90.00
Space group Imm2 (No. 44)
Inequivalent atoms, fractional coordinates:
1 Ac 0.0000 0.0000 0.0000
2 Ac 0.0000 0.5000 0.2229
3 Hg 0.0000 0.0000 0.3942
4 Pt 0.0000 0.0000 0.5524
5 Pt 0.0000 0.5000 0.6440
6 Pt 0.0000 0.5000 0.7929

A plane-wave DFT calculation with PBE was carried out for a relaxed structure of AcHgPt2.

## Properties
energy of formation = -0.5239 eV per atom
total energy = -4.647 eV per atom
crystal system = tetragonal

a b c (Å): 4.8477 4.8477 3.8817
angles (deg): 90.00 90.00 90.00
Space group P4/mmm (No. 123)
Inequivalent atoms, fractional coordinates:
1 Ac 0.0000 0.0000 0.0000
2 Hg 0.5000 0.5000 0.0000
3 Pt 0.0000 0.5000 0.5000

A plane-wave DFT calculation with PBE was carried out for a relaxed structure of Ac4HgPt2.

## Properties
energy of formation = -0.7626 eV per atom
total energy = -4.879 eV per atom
crystal system = orthorhombic

a b c (Å): 10.0182 10.0248 10.0820
angles (deg): 90.00 90.00 90.00
Space group Imma (No. 74)
Inequivalent atoms, fractional coordinates:
1 Ac 0.0000 0.0627 0.2120
2 Ac 0.1874 0.2500 0.5381
3 Hg 0.0000 0.2500 0.8743
4 Pt 0.0000 0.0000 0.5000
5 Pt 0.2500 0.2500 0.2500

A plane-wave DFT calculation with PBE was carried out for a relaxed structure of Ac3Hg2Pt2.

## Properties
energy of formation = -0.8116 eV per atom
total energy = -4.384 eV per atom
crystal system = orthorhombic

a b c (Å): 4.2522 23.9356 4.0659
angles (deg): 90.00 90.00 90.00
Space group Cmmm (No. 65)
Inequivalent atoms, fractional coordinates:
1 Ac 0.0000 0.0000 0.0000
2 Ac 0.0000 0.1724 0.0000
3 Hg 0.0000 0.4169 0.5000
4 Pt 0.0000 0.2890 0.5000

A plane-wave DFT calculation with PBE was carried out for a relaxed structure of Ac4Hg5Pt2.

## Properties
energy of formation = -0.6855 eV per atom
total energy = -3.415 eV per atom
crystal system = monoclinic

a b c (Å): 8.0910 4.0904 9.9297
angles (deg): 90.00 94.16 90.00
Space group P2/m (No. 10)
Inequivalent atoms, fractional coordinates:
1 Ac 0.1858 0.0000 0.3539
2 Ac 0.2307 0.0000 0.9326
3 Hg 0.1656 0.5000 0.6401
4 Hg 0.4533 0.5000 0.1749
5 Hg 0.5000 0.5000 0.5000
6 Pt 0.0748 0.5000 0.1358

A plane-wave DFT calculation with PBE was carried out for a relaxed structure of Ac2Hg3Pt2.

## Properties
energy of formation = -0.6827 eV per atom
total energy = -3.712 eV per atom
crystal system = monoclinic

a b c (Å): 11.1438 4.2934 7.7567
angles (deg): 90.00 94.69 90.00
Space group C2/m (No. 12)
Inequivalent atoms, fractional coordinates:
1 Ac 0.1225 0.0000 0.3376
2 Hg 0.0000 0.5000 0.0000
3 Hg 0.1849 0.0000 0.8646
4 Pt 0.0966 0.5000 0.6286